PmPaRu2: optimized geometry, PBE-GGA.

Lattice parameters (Å, degrees): 3.428 3.428 7.179 90.00 90.00 90.00
Space group P4/mmm (No. 123)
Asymmetric unit:
Pm  0.000  0.000  0.000 (multiplicity 1)
Pa  0.000  0.000  0.500 (multiplicity 1)
Ru  0.500  0.500  0.295 (multiplicity 2)

Summary:
The value obtained for the calculated formation energy is -9.4 kcal/mol of atoms. Its total DFT energy (no corrections) is -8.61 eV per atom.